An optimized crystal structure of LiCa2CdIr, computed with PBE.

abc: 5.412 5.412 5.335
angles: 90.00 90.00 90.00
Space group P4/mmm (No. 123)
Symmetry-distinct sites (fractional):
Li: 0.000 0.000 0.000 [1 per cell]
Ca: 0.000 0.500 0.500 [2 per cell]
Cd: 0.500 0.500 0.000 [1 per cell]
Ir: 0.500 0.500 0.500 [1 per cell]

Crystal system: tetragonal
Calculated total energy in eV/atom: -3.227
Size of the total moment in μB per formula unit: 0.0
ΔE_f in eV per atom: -0.09

An optimized crystal structure of CoSiPS2, computed with PBE.

abc: 4.643 4.643 4.084
angles: 90.00 90.00 90.00
Space group P4/mmm (No. 123)
Symmetry-distinct sites (fractional):
Co: 0.000 0.000 0.000 [1 per cell]
Si: 0.500 0.500 0.500 [1 per cell]
P: 0.000 0.000 0.500 [1 per cell]
S: 0.000 0.500 0.000 [2 per cell]

Crystal system: tetragonal
Calculated total energy in eV/atom: -4.635
Size of the total moment in μB per formula unit: 0.0
ΔE to the lowest computed polymorph in kJ/mol of formula units: 0